4
Lattice="11.3402 0.2729 0.1612 10.6760 3.8337 0.1612 10.6760 1.9914 3.2799" Properties=species:S:1:pos:R:3 comment="MnPBr2 (PBE, relaxed)" raw_formation_energy_mev_per_atom=242 m_tot_mub_per_fu=6.27 spacegroup=R-3m n_ef_per_ev_cell=1.698 de_polymorph_ev_per_atom=0.455 pbc="T T T"
Br 17.4769 3.2600 1.9258
Br 31.5613 5.8871 3.4778
Mn 8.1730 1.5245 0.9006
P 24.5191 4.5736 2.7018